# Nd4SmGa

A relaxed Nd4SmGa crystal (PBE, the Alexandria database).

Cell lengths 3.7893, 6.5327, 8.7780 Å; angles 111.58, 90.00, 106.82 degrees
With the nearest neighbours (Å) after each atom.
Space group P1 (No. 1)
Asymmetric unit:
Nd  0.0000  0.0000  0.0000 x1  2 Ga 3.13, 2 Nd 3.46
Nd  0.0228  0.0486  0.4369 x1  2 Ga 3.24, 1 Nd 3.51
Nd  0.6938  0.3921  0.8430 x1  2 Ga 3.24, 1 Nd 3.51
Nd  0.7188  0.4402  0.2793 x1  2 Ga 3.13, 2 Nd 3.46
Sm  0.3592  0.7199  0.6396 x1  10 Nd 3.52-3.88, 2 Sm 3.79
Ga  0.3593  0.7208  0.1401 x1  8 Nd 3.13-3.24

Results
M_tot ... 0.000 μB/cell
V ... 32.00 A^3/atom
Final energy ... -27.726 eV for the cell shown

=====

# Li6PrZn2

A relaxed Li6PrZn2 crystal (PBE, the Alexandria database).

Cell lengths 4.1130, 4.1130, 10.8993 Å; angles 90.00, 90.00, 90.00 degrees
With the nearest neighbours (Å) after each atom.
Space group P4/mmm (No. 123)
Asymmetric unit:
Li  0.0000  0.0000  0.0000 x1  12 Li 2.91-3.10
Li  0.0000  0.5000  0.2128 x4  2 Zn 2.71, 4 Li 2.91
Li  0.5000  0.5000  0.0000 x1  12 Li 2.91-3.10
Pr  0.0000  0.0000  0.5000 x1  8 Zn 3.21
Zn  0.5000  0.5000  0.3753 x2  4 Li 2.71, 1 Zn 2.72

Results
M_tot ... 0.000 μB/cell
V ... 20.49 A^3/atom
Final energy ... -19.610 eV for the cell shown